Record 1
Entry from the Alexandria database: a relaxed Ho4AlCd2Ag crystal (GGA-PBE).

Calculated values
The crystal system is trigonal.

```
data_Ho4AlCd2Ag
_chemical_formula_sum 'Ho12 Al3 Cd6 Ag3'
_cell_length_a 5.1851
_cell_length_b 5.1851
_cell_length_c 25.4314
_cell_angle_alpha 90.00
_cell_angle_beta 90.00
_cell_angle_gamma 120.00
_symmetry_space_group_name_H-M 'R -3 m'
_symmetry_Int_Tables_number 166
_symmetry_space_group_name_Hall '-R 3 2"'
loop_
_atom_site_label
_atom_site_fract_x
_atom_site_fract_y
_atom_site_fract_z
Ho1 0.0000 0.0000 0.1246
Ho2 0.0000 0.0000 0.3747
Al1 0.0000 0.0000 0.0000
Cd1 0.0000 0.0000 0.2510
Ag1 0.0000 0.0000 0.5000
```

---

Record 2
Entry from the Alexandria database: a relaxed HoAlCdAg crystal (GGA-PBE).

Calculated values
The crystal system is cubic.

```
data_HoAlCdAg
_chemical_formula_sum 'Ho4 Al4 Cd4 Ag4'
_cell_length_a 6.912
_cell_length_b 6.912
_cell_length_c 6.912
_cell_angle_alpha 90.00
_cell_angle_beta 90.00
_cell_angle_gamma 90.00
_symmetry_space_group_name_H-M 'F -4 3 m'
_symmetry_Int_Tables_number 216
_symmetry_space_group_name_Hall 'F -4 2 3'
loop_
_atom_site_label
_atom_site_fract_x
_atom_site_fract_y
_atom_site_fract_z
Ho1 0.000 0.000 0.000
Al1 0.000 0.000 0.500
Cd1 0.250 0.250 0.750
Ag1 0.250 0.250 0.250
```

---

Record 3
Entry from the Alexandria database: a relaxed Ho4Al2CdAg crystal (GGA-PBE).

Calculated values
The crystal system is trigonal.

```
data_Ho4Al2CdAg
_chemical_formula_sum 'Ho12 Al6 Cd3 Ag3'
_cell_length_a 5.1520
_cell_length_b 5.1520
_cell_length_c 25.2677
_cell_angle_alpha 90.00
_cell_angle_beta 90.00
_cell_angle_gamma 120.00
_symmetry_space_group_name_H-M 'R -3 m'
_symmetry_Int_Tables_number 166
_symmetry_space_group_name_Hall '-R 3 2"'
loop_
_atom_site_label
_atom_site_fract_x
_atom_site_fract_y
_atom_site_fract_z
Ho1 0.0000 0.0000 0.1229
Ho2 0.0000 0.0000 0.3731
Al1 0.0000 0.0000 0.2487
Cd1 0.0000 0.0000 0.5000
Ag1 0.0000 0.0000 0.0000
```

---

Record 4
Entry from the Alexandria database: a relaxed Ho4AlCdAg2 crystal (GGA-PBE).

Calculated values
The crystal system is trigonal.

```
data_Ho4AlCdAg2
_chemical_formula_sum 'Ho12 Al3 Cd3 Ag6'
_cell_length_a 5.1611
_cell_length_b 5.1611
_cell_length_c 25.2935
_cell_angle_alpha 90.00
_cell_angle_beta 90.00
_cell_angle_gamma 120.00
_symmetry_space_group_name_H-M 'R -3 m'
_symmetry_Int_Tables_number 166
_symmetry_space_group_name_Hall '-R 3 2"'
loop_
_atom_site_label
_atom_site_fract_x
_atom_site_fract_y
_atom_site_fract_z
Ho1 0.0000 0.0000 0.1231
Ho2 0.0000 0.0000 0.3731
Al1 0.0000 0.0000 0.0000
Cd1 0.0000 0.0000 0.5000
Ag1 0.0000 0.0000 0.2495
```

---

VASP energy in eV/atom, matching the order above: -3.672 -3.274 -4.045 -3.911